VASP calculation (PBE-GGA) on a geometry-optimized Sm2ZnFe structure.

Computed properties:
Final energy ... -19.22 eV/f.u.
Formation enthalpy at 0 K ... -0.01 eV/atom

The structure in extended XYZ format:
```
4
Lattice="0.000 3.553 3.553 3.553 0.000 3.553 3.553 3.553 0.000" Properties=species:S:1:pos:R:3 pbc="T T T"
Sm 1.776 1.776 1.776
Sm 5.329 5.329 5.329
Zn 0.000 0.000 0.000
Fe 3.553 3.553 3.553
```